Below is crystalline Cr2PSe at its relaxed geometry, with properties calculated at the GGA-PBE level.

Cell: 3.429 3.429 5.229 Å, 90.00 90.00 90.00°
Site moments in Bohr magnetons follow the coordinates.
Positions (direct):
1 P 0.000 0.000 0.406  -0.16
2 Cr 0.500 0.500 0.310  2.63
3 Cr 0.000 0.000 0.956  2.72
4 Se 0.500 0.500 0.829  -0.10

Calculated values
uncorrected formation energy = -188 meV per atom
calculated volume = 61.47 Å³/f.u.
size of the total moment = 5.4 μB/cell

Below is crystalline AgHg2SbRh at its relaxed geometry, with properties calculated at the GGA-PBE level.

Cell: 5.123 5.132 5.123 Å, 90.00 90.00 90.00°
Positions (direct):
1 Ag 0.000 0.500 0.000
2 Hg 0.500 0.000 0.000
3 Hg 0.000 0.000 0.500
4 Rh 0.000 0.000 0.000
5 Sb 0.500 0.500 0.500

Calculated values
uncorrected formation energy = 636 meV per atom
calculated volume = 134.67 Å³/f.u.
size of the total moment = 0.0 μB/cell

Below is crystalline Ca4Sb6O19 at its relaxed geometry, with properties calculated at the GGA-PBE level.

Cell: 8.095 8.095 8.095 Å, 109.47 109.47 109.47°
Site moments in Bohr magnetons follow the coordinates.
Positions (direct):
1 O 0.000 0.000 0.000  0.06
2 O 0.339 0.298 0.611  0.00
3 O 0.000 0.642 0.642  0.00
4 O 0.686 0.727 0.389  0.00
5 O 0.702 0.041 0.314  0.00
6 O 0.041 0.314 0.702  0.00
7 O 0.000 0.358 0.358  0.00
8 O 0.611 0.339 0.298  0.00
9 O 0.642 0.000 0.642  0.00
10 O 0.273 0.959 0.661  0.00
11 O 0.358 0.358 0.000  0.00
12 O 0.959 0.661 0.273  0.00
13 O 0.727 0.389 0.686  0.00
14 O 0.298 0.611 0.339  0.00
15 O 0.389 0.686 0.727  0.00
16 O 0.642 0.642 0.000  0.00
17 O 0.661 0.273 0.959  0.00
18 O 0.358 0.000 0.358  0.00
19 O 0.314 0.702 0.041  0.00
20 Ca 0.000 0.000 0.720  0.00
21 Ca 0.720 0.000 0.000  0.00
22 Ca 0.280 0.280 0.280  0.00
23 Ca 0.000 0.720 0.000  0.00
24 Sb 0.165 0.665 0.500  0.00
25 Sb 0.665 0.500 0.165  0.00
26 Sb 0.835 0.335 0.500  0.00
27 Sb 0.500 0.165 0.665  0.00
28 Sb 0.335 0.500 0.835  0.00
29 Sb 0.500 0.835 0.335  0.00

Calculated values
uncorrected formation energy = -1928 meV per atom
calculated volume = 408.40 Å³/f.u.
size of the total moment = 0.1 μB/cell

Below is crystalline Ba3Ag2Pb9 at its relaxed geometry, with properties calculated at the GGA-PBE level.

Cell: 5.164 9.913 9.913 Å, 75.39 74.90 74.90°
Positions (direct):
1 Pb 0.633 0.725 0.008
2 Pb 0.149 0.559 0.143
3 Pb 0.851 0.441 0.857
4 Pb 0.851 0.857 0.441
5 Pb 0.000 0.500 0.500
6 Pb 0.367 0.992 0.275
7 Pb 0.367 0.275 0.992
8 Pb 0.633 0.008 0.725
9 Pb 0.149 0.143 0.559
10 Ag 0.500 0.664 0.336
11 Ag 0.500 0.336 0.664
12 Ba 0.000 0.000 0.000
13 Ba 0.299 0.701 0.701
14 Ba 0.701 0.299 0.299

Calculated values
calculated volume = 463.65 Å³/f.u.
uncorrected energy = -3.48 eV/atom
size of the total moment = 0.0 μB/cell